The following is a DFT calculation (GGA-PBE) of crystalline CaSi4Tc4 at its relaxed geometry.

Calculated values
Uncorrected energy   -7.680 eV/atom
Formation energy (no corrections)   -0.44 eV per atom
Fermi-level density of states   1.08 states/eV/atom

Cell: 8.1135 8.1135 4.7079 Å, 90.00 90.00 90.00°
Fractional positions:
1 Ca 0.2500 0.2500 0.2500
2 Ca 0.7500 0.7500 0.7500
3 Si 0.0679 0.9140 0.1611
4 Si 0.0860 0.5679 0.6611
5 Si 0.4140 0.9321 0.6611
6 Si 0.4321 0.5860 0.1611
7 Si 0.5679 0.4140 0.8389
8 Si 0.5860 0.0679 0.3389
9 Si 0.9140 0.4321 0.3389
10 Si 0.9321 0.0860 0.8389
11 Tc 0.1243 0.8747 0.6534
12 Tc 0.1253 0.6243 0.1534
13 Tc 0.3747 0.8757 0.1534
14 Tc 0.3757 0.6253 0.6534
15 Tc 0.6243 0.3747 0.3466
16 Tc 0.6253 0.1243 0.8466
17 Tc 0.8747 0.3757 0.8466
18 Tc 0.8757 0.1253 0.3466

---

The following is a DFT calculation (GGA-PBE) of crystalline Tm2Re2B2C at its relaxed geometry.

Calculated values
Uncorrected energy   -8.519 eV/atom
Formation energy   -0.46 eV per atom
Fermi-level density of states   0.19 states/eV/atom

Cell: 5.6064 5.6064 6.7762 Å, 125.57 125.57 35.57°
Fractional positions:
1 Tm 0.0737 0.0737 0.3263
2 Tm 0.9263 0.9263 0.6737
3 Re 0.2885 0.2885 0.1766
4 Re 0.7115 0.7115 0.8234
5 B 0.3873 0.3873 0.9398
6 B 0.6127 0.6127 0.0602
7 C 0.5000 0.5000 0.5000

---

The following is a DFT calculation (GGA-PBE) of crystalline SrLi4CdSi2 at its relaxed geometry.

Calculated values
Uncorrected energy   -2.807 eV/atom
Formation energy (no corrections)   -0.17 eV per atom
Fermi-level density of states   0.27 states/eV/atom

Cell: 9.0655 9.0655 9.0655 Å, 28.74 28.74 28.74°
Fractional positions:
1 Sr 0.0000 0.0000 0.0000
2 Li 0.1287 0.1287 0.1287
3 Li 0.4036 0.4036 0.4036
4 Li 0.5964 0.5964 0.5964
5 Li 0.8713 0.8713 0.8713
6 Cd 0.5000 0.5000 0.5000
7 Si 0.2450 0.2450 0.2450
8 Si 0.7550 0.7550 0.7550

---

The following is a DFT calculation (GGA-PBE) of crystalline NiSb4Pt at its relaxed geometry.

Calculated values
Uncorrected energy   -3.797 eV/atom
Distance to the lowest polymorph of the same formula   1.252 eV per atom
Formation energy (no corrections)   0.92 eV per atom
Fermi-level density of states   1.18 states/eV/atom

Cell: 5.9862 5.9862 5.9862 Å, 60.00 60.00 60.00°
Fractional positions:
1 Ni 0.0000 0.0000 0.0000
2 Sb 0.3749 0.3749 0.3749
3 Sb 0.3749 0.3749 0.8753
4 Sb 0.3749 0.8753 0.3749
5 Sb 0.8753 0.3749 0.3749
6 Pt 0.7500 0.7500 0.7500

---

The following is a DFT calculation (GGA-PBE) of crystalline Mg3As at its relaxed geometry.

Calculated values
Uncorrected energy   -2.476 eV/atom
Formation energy   -0.12 eV per atom
Fermi-level density of states   0.43 states/eV/atom

Cell: 5.9002 5.9002 5.9002 Å, 148.15 62.92 127.29°
Fractional positions:
1 Mg 0.0000 0.0000 0.0000
2 Mg 0.3625 0.5859 0.7765
3 Mg 0.8094 0.5859 0.2235
4 As 0.4427 0.9427 0.5000

---

The following is a DFT calculation (GGA-PBE) of crystalline Mo2PtSe at its relaxed geometry.

Calculated values
Uncorrected energy   -7.715 eV/atom
Formation energy (no corrections)   0.08 eV per atom
Fermi-level density of states   0.53 states/eV/atom

Cell: 5.3823 5.3823 5.3823 Å, 147.73 129.87 60.88°
Fractional positions:
1 Mo 0.0000 0.0000 0.0000
2 Mo 0.7213 0.2213 0.5000
3 Pt 0.2636 0.7637 0.5000
4 Se 0.5032 0.5032 0.0000

---

The following is a DFT calculation (GGA-PBE) of crystalline Mn2CdIn at its relaxed geometry.

Calculated values
Uncorrected energy   -5.239 eV/atom
Formation energy   0.26 eV per atom
Fermi-level density of states   0.76 states/eV/atom

Cell: 3.0266 4.7610 4.9169 Å, 90.00 90.00 90.00°
Fractional positions:
1 Mn 0.0000 0.0000 0.0000
2 Mn 0.0000 0.5000 0.3766
3 Cd 0.5000 0.5000 0.8869
4 In 0.5000 0.0000 0.4888

---

The following is a DFT calculation (GGA-PBE) of crystalline Dy8Al2Tl at its relaxed geometry.

Calculated values
Uncorrected energy   -4.392 eV/atom
Formation energy   -0.15 eV per atom
Distance to the lowest polymorph of the same formula   0.052 eV per atom
Fermi-level density of states   1.17 states/eV/atom

Cell: 8.8097 8.8097 8.8097 Å, 147.05 123.10 67.34°
Fractional positions:
1 Dy 0.1241 0.3386 0.7854
2 Dy 0.1451 0.1451 0.0000
3 Dy 0.3119 0.0000 0.3119
4 Dy 0.4468 0.6614 0.7854
5 Dy 0.5532 0.3386 0.2146
6 Dy 0.6881 0.0000 0.6881
7 Dy 0.8549 0.8549 0.0000
8 Dy 0.8759 0.6614 0.2146
9 Al 0.3064 0.8064 0.5000
10 Al 0.6936 0.1936 0.5000
11 Tl 0.0000 0.5000 0.5000

---

The following is a DFT calculation (GGA-PBE) of crystalline Na5B7C3 at its relaxed geometry.

Calculated values
Uncorrected energy   -5.275 eV/atom
Formation energy   0.13 eV per atom
Distance to the lowest polymorph of the same formula   0.013 eV per atom
Fermi-level density of states   0.16 states/eV/atom

Cell: 8.5806 12.9077 12.9077 Å, 12.58 90.00 90.00°
Fractional positions:
1 Na 0.2447 0.0000 0.0000
2 Na 0.2458 0.1999 0.1999
3 Na 0.2460 0.6005 0.6005
4 Na 0.2481 0.7992 0.7992
5 Na 0.2485 0.3997 0.3997
6 Na 0.7515 0.3997 0.3997
7 Na 0.7519 0.7992 0.7992
8 Na 0.7542 0.1999 0.1999
9 Na 0.7540 0.6005 0.6005
10 Na 0.7553 0.0000 0.0000
11 B 0.0000 0.0731 0.0731
12 B 0.0000 0.2661 0.2661
13 B 0.0000 0.4600 0.4600
14 B 0.0000 0.5326 0.5326
15 B 0.0000 0.6694 0.6694
16 B 0.0000 0.8627 0.8627
17 B 0.5000 0.1323 0.1323
18 B 0.5000 0.2639 0.2639
19 B 0.5000 0.3277 0.3277
20 B 0.5000 0.4737 0.4737
21 B 0.5000 0.5412 0.5412
22 B 0.5000 0.7226 0.7226
23 B 0.5000 0.8700 0.8700
24 B 0.5000 0.9349 0.9349
25 C 0.0000 0.1370 0.1370
26 C 0.0000 0.3311 0.3311
27 C 0.0000 0.7341 0.7341
28 C 0.0000 0.9284 0.9284
29 C 0.5000 0.0701 0.0701
30 C 0.5000 0.6626 0.6626

---

The following is a DFT calculation (GGA-PBE) of crystalline Ti2ZnPt2 at its relaxed geometry.

Calculated values
Uncorrected energy   -6.434 eV/atom
Formation energy   -0.61 eV per atom
Fermi-level density of states   0.93 states/eV/atom

Cell: 2.8837 4.6559 6.3625 Å, 95.83 103.06 107.71°
Fractional positions:
1 Ti 0.2040 0.2923 0.1136
2 Ti 0.7960 0.7077 0.8864
3 Zn 0.0000 0.5000 0.5000
4 Pt 0.4184 0.1226 0.7170
5 Pt 0.5816 0.8774 0.2830

---

The following is a DFT calculation (GGA-PBE) of crystalline Zn2CrIn at its relaxed geometry.

Calculated values
Uncorrected energy   -3.472 eV/atom
Formation energy   0.26 eV per atom
Fermi-level density of states   0.42 states/eV/atom

Cell: 3.0301 4.6001 5.1067 Å, 90.00 92.66 90.00°
Fractional positions:
1 Zn 0.1758 0.0000 0.2818
2 Zn 0.8242 0.0000 0.7182
3 Cr 0.5000 0.5000 0.5000
4 In 0.0000 0.5000 0.0000

---

The following is a DFT calculation (GGA-PBE) of crystalline UTlAgTe3 at its relaxed geometry.

Calculated values
Uncorrected energy   -4.782 eV/atom
Formation energy (no corrections)   -0.46 eV per atom
Fermi-level density of states   1.23 states/eV/atom

Cell: 9.4842 4.4102 10.1716 Å, 90.00 107.70 90.00°
Fractional positions:
1 U 0.1807 0.2500 0.1610
2 U 0.8193 0.7500 0.8390
3 Tl 0.3012 0.7500 0.7515
4 Tl 0.6988 0.2500 0.2485
5 Ag 0.4194 0.7500 0.4087
6 Ag 0.5806 0.2500 0.5913
7 Te 0.0485 0.2500 0.8424
8 Te 0.2565 0.2500 0.4702
9 Te 0.3900 0.7500 0.1234
10 Te 0.6100 0.2500 0.8766
11 Te 0.7435 0.7500 0.5298
12 Te 0.9515 0.7500 0.1576